#a
Computed, not measured: crystalline CoAgHgB at its relaxed geometry at the PBE level of DFT.

Computed properties:
- volume (Å³/cell) = 58.6

Structure (extended XYZ):
```
4
Lattice="0.000 3.082 3.082 3.082 0.000 3.082 3.082 3.082 0.000" Properties=species:S:1:pos:R:3 pbc="T T T"
Hg 1.541 1.541 1.541
B 0.000 0.000 0.000
Co 4.623 4.623 4.623
Ag 3.082 3.082 3.082
```

---

#b
Computed, not measured: crystalline CoAgHgB at its relaxed geometry at the PBE level of DFT.

Computed properties:
- volume (Å³/cell) = 58.4

Structure (extended XYZ):
```
4
Lattice="1.733 -3.911 0.821 -2.325 -3.610 -0.735 1.066 -2.644 -3.293" Properties=species:S:1:pos:R:3 pbc="T T T"
B 0.000 0.000 0.000
Co 0.356 -7.624 -2.406
Ag 0.119 -2.541 -0.802
Hg 0.237 -5.083 -1.604
```

---

Result of the stability comparison: #a is the least stable of them.